PrNd2Cu2Si4Ni2 | PBE | optimized geometry

```
PrNd2Cu2Si4Ni2
1.0
-2.066 2.078 11.777
2.066 -2.078 11.777
2.066 2.078 -11.777
Pr Nd Cu Si Ni
1 2 2 4 2
Direct
0.000 0.000 0.000
0.151 0.651 0.500
0.849 0.349 0.500
0.401 0.901 0.500
0.599 0.099 0.500
0.298 0.798 0.500
0.449 0.449 0.000
0.551 0.551 0.000
0.702 0.202 0.500
0.249 0.249 0.000
0.751 0.751 0.000
```

Summary:
- Spin magnetization: 0.03 μB per cell
- DFT total energy: -5.663 eV per atom
- Symmetry: No. 71